# Cs3NaSn2I9

A geometry-optimized Cs3NaSn2I9 structure (GGA-PBE, Alexandria via LeMat-Bulk).

Summary:
Raw formation energy   -1437 kJ/mol of formula units
Symmetry   P-3m1
D(E_F)   5.34 states/eV/f.u.

Lattice parameters (Å, degrees): 8.788 8.788 10.736 90.00 90.00 120.00
Atoms (fractional coordinates):
Cs1 0.000 0.000 0.000
Cs2 0.333 0.667 0.658
Cs3 0.667 0.333 0.342
Na1 0.000 0.000 0.500
Sn1 0.333 0.667 0.170
Sn2 0.667 0.333 0.830
I1 0.000 0.500 0.000
I2 0.171 0.341 0.331
I3 0.171 0.829 0.331
I4 0.341 0.171 0.669
I5 0.500 0.000 0.000
I6 0.500 0.500 0.000
I7 0.659 0.829 0.331
I8 0.829 0.171 0.669
I9 0.829 0.659 0.669